[1]
The following is a DFT calculation (PBE) of an optimized crystal structure of LiMo2Pt.

The structure in CIF format:
```
data_LiMo2Pt
_chemical_formula_sum 'Li3 Mo6 Pt3'
_symmetry_space_group_name_H-M 'R -3 m'
_symmetry_Int_Tables_number 166
_symmetry_space_group_name_Hall '-R 3 2"'
_cell_length_a 2.7479
_cell_length_b 2.7479
_cell_length_c 29.0875
_cell_angle_alpha 90.00
_cell_angle_beta 90.00
_cell_angle_gamma 120.00
loop_
_atom_site_label
_atom_site_fract_x
_atom_site_fract_y
_atom_site_fract_z
Li1 0.0000 0.0000 0.0000
Mo1 0.0000 0.0000 0.2467
Pt1 0.0000 0.0000 0.5000
```

E_tot, eV/f.u.: -28.8
Energy above the lowest structure with this stoichiometry, meV/atom: 286
DOS(E_F), states/eV per atom: 0.90

=====

[2]
The following is a DFT calculation (PBE) of an optimized crystal structure of LiMo2Pt.

The structure in CIF format:
```
data_LiMo2Pt
_chemical_formula_sum 'Li1 Mo2 Pt1'
_symmetry_space_group_name_H-M 'P 4/m m m'
_symmetry_Int_Tables_number 123
_symmetry_space_group_name_Hall '-P 4 2'
_cell_length_a 2.705
_cell_length_b 2.705
_cell_length_c 8.178
_cell_angle_alpha 90.00
_cell_angle_beta 90.00
_cell_angle_gamma 90.00
loop_
_atom_site_label
_atom_site_fract_x
_atom_site_fract_y
_atom_site_fract_z
Li1 0.000 0.000 0.000
Mo1 0.500 0.500 0.244
Pt1 0.000 0.000 0.500
```

E_tot, eV/f.u.: -28.8
Energy above the lowest structure with this stoichiometry, meV/atom: 278
DOS(E_F), states/eV per atom: 0.79

=====

[3]
The following is a DFT calculation (PBE) of an optimized crystal structure of Li2MoPt.

The structure in CIF format:
```
data_Li2MoPt
_chemical_formula_sum 'Li4 Mo2 Pt2'
_symmetry_space_group_name_H-M 'I 4/m m m'
_symmetry_Int_Tables_number 139
_symmetry_space_group_name_Hall '-I 4 2'
_cell_length_a 3.667
_cell_length_b 3.667
_cell_length_c 9.100
_cell_angle_alpha 90.00
_cell_angle_beta 90.00
_cell_angle_gamma 90.00
loop_
_atom_site_label
_atom_site_fract_x
_atom_site_fract_y
_atom_site_fract_z
Li1 0.000 0.500 0.250
Mo1 0.000 0.000 0.000
Pt1 0.000 0.000 0.500
```

E_tot, eV/f.u.: -20.2
Energy above the lowest structure with this stoichiometry, meV/atom: 239
DOS(E_F), states/eV per atom: 1.01

=====

[4]
The following is a DFT calculation (PBE) of an optimized crystal structure of Li2MoPt.

The structure in CIF format:
```
data_Li2MoPt
_chemical_formula_sum 'Li2 Mo1 Pt1'
_symmetry_space_group_name_H-M 'P 4 m m'
_symmetry_Int_Tables_number 99
_symmetry_space_group_name_Hall 'P 4 -2'
_cell_length_a 2.753
_cell_length_b 2.753
_cell_length_c 8.262
_cell_angle_alpha 90.00
_cell_angle_beta 90.00
_cell_angle_gamma 90.00
loop_
_atom_site_label
_atom_site_fract_x
_atom_site_fract_y
_atom_site_fract_z
Li1 0.000 0.000 0.000
Li2 0.500 0.500 0.280
Mo1 0.000 0.000 0.548
Pt1 0.500 0.500 0.785
```

E_tot, eV/f.u.: -20.9
Energy above the lowest structure with this stoichiometry, meV/atom: 64
DOS(E_F), states/eV per atom: 0.73